Material: Sm4TlSbC
Method: DFT, PBE-GGA
State: optimized geometry

Unit cell a=6.9901 b=16.1953 c=6.9833 alpha=90.00 beta=90.00 gamma=90.00
Space group Cmcm (No. 63)
Unique sites:
1 Sm 0.0000 0.0879 0.2500 (multiplicity 4)
2 Sm 0.0000 0.4099 0.2500 (multiplicity 4)
3 Sm 0.2500 0.2500 0.0000 (multiplicity 8)
4 Tl 0.0000 0.1112 0.7500 (multiplicity 4)
5 Sb 0.0000 0.3896 0.7500 (multiplicity 4)
6 C 0.0000 0.2514 0.2500 (multiplicity 4)

Output
Volume ... 790.6 Å³ per cell
VASP energy ... -38.37 eV/f.u.


Material: Sm2Y2Sb2C
Method: DFT, PBE-GGA
State: optimized geometry

Unit cell a=4.7913 b=4.7913 c=16.1621 alpha=90.00 beta=90.00 gamma=90.00
Space group I4/mmm (No. 139)
Unique sites:
1 Sm 0.0000 0.0000 0.1611 (multiplicity 4)
2 Y 0.0000 0.5000 0.0000 (multiplicity 4)
3 Sb 0.0000 0.0000 0.3608 (multiplicity 4)
4 C 0.0000 0.0000 0.0000 (multiplicity 2)

Output
Volume ... 371.0 Å³ per cell
VASP energy ... -45.62 eV/f.u.


Material: Sm2Zr2Sb2C
Method: DFT, PBE-GGA
State: optimized geometry

Unit cell a=4.5304 b=4.5304 c=16.1441 alpha=90.00 beta=90.00 gamma=90.00
Space group I4/mmm (No. 139)
Unique sites:
1 Sm 0.0000 0.0000 0.1637 (multiplicity 4)
2 Zr 0.0000 0.5000 0.0000 (multiplicity 4)
3 Sb 0.0000 0.0000 0.3647 (multiplicity 4)
4 C 0.0000 0.0000 0.0000 (multiplicity 2)

Output
Volume ... 331.3 Å³ per cell
VASP energy ... -50.00 eV/f.u.


Material: SnSb2C
Method: DFT, PBE-GGA
State: optimized geometry

Unit cell a=7.0571 b=7.0571 c=7.0571 alpha=90.00 beta=90.00 gamma=90.00
Space group Fm-3m (No. 225)
Unique sites:
1 Sn 0.0000 0.0000 0.0000 (multiplicity 4)
2 Sb 0.2500 0.2500 0.2500 (multiplicity 8)
3 C 0.0000 0.0000 0.5000 (multiplicity 4)

Output
Energy above the lowest structure with this stoichiometry ... 0.668 eV per atom
Volume ... 351.5 Å³ per cell
VASP energy ... -15.62 eV/f.u.